Here is an optimized crystal structure of Co2Ni5Pd6 from the Alexandria database. Energies are from PBE-GGA.

Calculated values
N(E_F) = 18.153 states/eV/f.u.
DFT formation energy = 0.131 eV/atom
Space group = No. 55

Cell and atoms, written as extended XYZ:
```
26
Lattice="2.677 0.000 0.000 0.000 7.943 0.000 0.000 0.000 16.489" Properties=species:S:1:pos:R:3 pbc="T T T"
Pd 0.000 1.166 6.340
Ni 1.339 0.702 4.045
Pd 1.339 1.340 10.425
Pd 0.000 5.138 1.905
Pd 0.000 6.776 10.149
Co 0.000 5.250 12.126
Pd 0.000 4.099 6.473
Ni 1.339 7.240 12.443
Pd 0.000 0.128 1.771
Co 0.000 2.693 4.363
Ni 1.339 2.562 8.135
Ni 1.339 6.534 0.110
Co 0.000 6.665 3.881
Ni 1.339 3.971 0.000
Ni 1.339 4.674 4.199
Ni 1.339 1.409 16.379
Pd 1.339 5.311 14.309
Ni 1.339 3.269 12.290
Co 0.000 1.278 12.607
Ni 1.339 0.000 8.244
Pd 0.000 3.844 10.016
Ni 1.339 5.381 8.354
Pd 0.000 2.805 14.584
Pd 1.339 6.603 6.064
Pd 0.000 7.815 14.718
Pd 1.339 2.632 2.180
```